(1)
DFT (PBE-GGA) results for a geometry-optimized LiAg structure.

abc: 8.2413 8.2413 8.2413
angles: 90.00 90.00 90.00
Last column: nearest neighbours and their distance in Å.
Space group I-43m (No. 217)
Unique sites:
Li 0.1955 0.1955 0.1955 x8  4 Ag 2.60-2.75
Ag 0.1222 0.1222 0.8778 x8  4 Li 2.60-2.75, 3 Ag 2.85

Properties
For the energy of formation, the calculation gives 263 meV per atom.

=====

(2)
DFT (PBE-GGA) results for a geometry-optimized PbCl structure.

abc: 5.9897 8.0990 9.8662
angles: 90.00 90.00 90.00
Last column: nearest neighbours and their distance in Å.
Space group P2_12_12_1 (No. 19)
Unique sites:
Pb 0.0780 0.1166 0.1968 x4  4 Cl 2.97-3.13, 2 Pb 3.22-3.30
Pb 0.1047 0.5921 0.8077 x4  4 Cl 2.90-3.18, 1 Pb 3.22
Cl 0.2322 0.8662 0.4190 x4  4 Pb 2.97-3.18
Cl 0.2390 0.3440 0.5808 x4  4 Pb 2.90-3.11

Properties
The raw total energy is -0.127 hartree per atom.

=====

(3)
DFT (PBE-GGA) results for a geometry-optimized TlCo2Re structure.

abc: 2.8479 2.8479 26.2345
angles: 90.00 90.00 120.00
Last column: nearest neighbours and their distance in Å.
Space group R3m (No. 160, hexagonal axes)
Unique sites:
Tl 0.0000 0.0000 0.0000 x3  6 Tl 2.85, 3 Co 2.87, 3 Re 3.06
Co 0.0000 0.0000 0.4930 x3  3 Co 2.46, 3 Re 2.57
Co 0.0000 0.0000 0.7565 x3  3 Co 2.46
Re 0.0000 0.0000 0.2349 x3  3 Co 2.57, 6 Re 2.85

Properties
For the energy of formation, the calculation gives 711 meV per atom.

=====

(4)
DFT (PBE-GGA) results for a geometry-optimized Na5H3C4O12 structure.

abc: 3.5408 10.1478 15.7101
angles: 107.75 95.66 94.94
Last column: nearest neighbours and their distance in Å.
Space group P-1 (No. 2)
Unique sites:
Na 0.0759 0.2855 0.1918 x2  6 O 2.38-2.55
Na 0.2750 0.2489 0.9771 x2  6 O 2.35-2.54
Na 0.2876 0.1744 0.5496 x2  6 O 2.35-2.61
Na 0.3087 0.6817 0.5980 x2  5 O 2.32-2.43
Na 0.3183 0.7818 0.2204 x2  6 O 2.35-2.53
H 0.0000 0.0000 0.0000 x1  2 O 1.22
H 0.0000 0.5000 0.0000 x1  2 O 1.23
H 0.2361 0.9697 0.7517 x2  1 O 1.04
H 0.4919 0.4566 0.7434 x2  1 O 1.04
C 0.0773 0.0249 0.3614 x2  3 O 1.27-1.37
C 0.2547 0.4945 0.8816 x2  3 O 1.28-1.33
C 0.2699 0.5608 0.3691 x2  3 O 1.27-1.37
C 0.3599 0.0292 0.1218 x2  3 O 1.28-1.33
O 0.1249 0.1572 0.3914 x2  1 C 1.27
O 0.1279 0.0396 0.7216 x2  1 H 1.04
O 0.1418 0.5709 0.9578 x2  1 H 1.23, 1 C 1.33
O 0.1909 0.0871 0.0650 x2  1 H 1.22, 1 C 1.33
O 0.2022 0.4283 0.3456 x2  1 C 1.28
O 0.2054 0.9439 0.4019 x2  1 C 1.27
O 0.2056 0.6461 0.4424 x2  1 C 1.27
O 0.2370 0.3623 0.8625 x2  1 C 1.28
O 0.3150 0.8972 0.1043 x2  1 C 1.28
O 0.3815 0.5616 0.8299 x2  1 C 1.30
O 0.4334 0.6191 0.3115 x2  1 H 1.04
O 0.4406 0.8858 0.8053 x2  1 C 1.30

Properties
The raw total energy is -0.231 hartree per atom.

=====

(5)
DFT (PBE-GGA) results for a geometry-optimized Th2Zn2Ag structure.

abc: 3.7803 6.2566 9.8035
angles: 90.00 90.00 90.00
Last column: nearest neighbours and their distance in Å.
Space group Immm (No. 71)
Unique sites:
Th 0.0000 0.0000 0.2234 x4  6 Zn 3.17-3.28, 2 Ag 3.31
Zn 0.0000 0.2940 0.5000 x4  1 Zn 2.58, 2 Ag 2.64
Ag 0.0000 0.5000 0.0000 x2  4 Zn 2.64

Properties
For the energy of formation, the calculation gives -180 meV per atom.

=====

(6)
DFT (PBE-GGA) results for a geometry-optimized NaHoAgBi structure.

abc: 7.4545 7.4545 7.4545
angles: 90.00 90.00 90.00
Last column: nearest neighbours and their distance in Å.
Space group F-43m (No. 216)
Unique sites:
Na 0.0000 0.0000 0.0000 x4  4 Bi 3.23, 4 Ag 3.23
Ho 0.0000 0.0000 0.5000 x4  4 Bi 3.23, 4 Ag 3.23
Ag 0.2500 0.2500 0.7500 x4  4 Na 3.23, 4 Ho 3.23
Bi 0.2500 0.2500 0.2500 x4  4 Na 3.23, 4 Ho 3.23

Properties
For the energy of formation, the calculation gives -350 meV per atom.

=====

(7)
DFT (PBE-GGA) results for a geometry-optimized BaV2C structure.

abc: 8.9700 8.9700 8.9700
angles: 90.00 90.00 90.00
Last column: nearest neighbours and their distance in Å.
Space group Fd-3m (No. 227, origin choice 2)
Unique sites:
Ba 0.1250 0.1250 0.1250 x8  12 V 3.72, 4 C 3.88, 4 Ba 3.88
V 0.0000 0.0000 0.5000 x16  2 C 1.94
C 0.1250 0.1250 0.6250 x8  4 V 1.94

Properties
For the energy of formation, the calculation gives 534 meV per atom.

=====

(8)
DFT (PBE-GGA) results for a geometry-optimized Tb2Nd2Hg structure.

abc: 8.4391 9.5401 8.5159
angles: 90.00 115.21 90.00
Last column: nearest neighbours and their distance in Å.
Space group C2/m (No. 12)
Unique sites:
Tb 0.0742 0.1854 0.2223 x8  2 Hg 3.05-3.36
Nd 0.1618 0.5000 0.9266 x4  3 Nd 3.45-3.59, 6 Tb 3.48-3.76, 2 Hg 3.65
Nd 0.2216 0.0000 0.6161 x4  4 Hg 3.31-3.62, 3 Nd 3.41-3.59, 4 Tb 3.44-3.52
Hg 0.0000 0.3346 0.5000 x4  4 Tb 3.05-3.36, 1 Hg 3.16, 2 Nd 3.31

Properties
For the energy of formation, the calculation gives -97 meV per atom.

=====

(9)
DFT (PBE-GGA) results for a geometry-optimized Be2PtPb structure.

abc: 3.8254 3.8254 8.2944
angles: 90.00 90.00 90.00
Last column: nearest neighbours and their distance in Å.
Space group I-4m2 (No. 119)
Unique sites:
Be 0.0000 0.0000 0.0000 x2  4 Pt 2.70, 4 Pb 2.82, 4 Be 2.82
Be 0.0000 0.5000 0.2500 x2  4 Pb 2.70, 4 Be 2.82, 4 Pt 2.82
Pt 0.0000 0.0000 0.5000 x2  8 Be 2.70-2.82, 4 Pb 2.82
Pb 0.0000 0.5000 0.7500 x2  8 Be 2.70-2.82, 4 Pt 2.82

Properties
For the energy of formation, the calculation gives 334 meV per atom.

=====

(10)
DFT (PBE-GGA) results for a geometry-optimized ZrAl2Zn structure.

abc: 3.2330 3.2330 6.6847
angles: 90.00 90.00 90.00
Last column: nearest neighbours and their distance in Å.
Space group P4mm (No. 99)
Unique sites:
Zr 0.0000 0.0000 0.0000 x1  5 Al 2.93-3.28, 4 Zn 2.97, 4 Zr 3.23
Al 0.0000 0.0000 0.5095 x1  4 Zn 2.67, 4 Al 2.78
Al 0.5000 0.5000 0.2738 x1  4 Al 2.78, 4 Zr 2.93, 1 Zn 2.95
Zn 0.5000 0.5000 0.7155 x1  5 Al 2.67-2.95, 4 Zr 2.97

Properties
For the energy of formation, the calculation gives -210 meV per atom.

=====

(11)
DFT (PBE-GGA) results for a geometry-optimized Rb3Bi4Pb4 structure.

abc: 9.9726 9.9726 9.9726
angles: 90.00 90.00 90.00
Last column: nearest neighbours and their distance in Å.
Space group I-43m (No. 217)
Unique sites:
Rb 0.0000 0.0000 0.5000 x6  4 Bi 4.08, 4 Pb 4.12
Bi 0.1833 0.1833 0.1833 x8  4 Pb 3.19-3.23
Pb 0.1318 0.1318 0.8682 x8  4 Bi 3.19-3.23

Properties
For the energy of formation, the calculation gives -164 meV per atom.